# 1
Entry from Alexandria: a geometry-optimized LuGaPb2 structure (PBE-GGA).

Properties
**SG**: P4/mmm, No. 123
**Formation enthalpy at 0 K**: -0.127 eV per atom
**Offset from the most stable computed form**: 88 meV per atom

Unit cell a=4.034 b=4.034 c=6.471 alpha=90.00 beta=90.00 gamma=90.00
Sites, in units of the cell vectors:
Lu 0.000 0.000 0.000
Ga 0.000 0.000 0.500
Pb 0.500 0.500 0.256
Pb 0.500 0.500 0.744


# 2
Entry from Alexandria: a geometry-optimized TbCe2ThS4 structure (PBE-GGA).

Properties
**Formation energy (no corrections)**: -1.99 eV per atom
**SG**: P2/m, No. 10

Unit cell a=6.909 b=4.005 c=6.959 alpha=90.00 beta=109.44 gamma=90.00
Sites, in units of the cell vectors:
Tb 0.000 0.000 0.000
Ce 0.500 0.000 0.500
Ce 0.500 0.500 0.000
Th 0.000 0.500 0.500
S 0.244 0.500 0.242
S 0.248 0.000 0.756
S 0.752 0.000 0.244
S 0.756 0.500 0.758


# 3
Entry from Alexandria: a geometry-optimized Sc3Cu2Tc structure (PBE-GGA).

Properties
**SG**: Cmmm, No. 65
**Formation enthalpy at 0 K**: -0.278 eV per atom
**Offset from the most stable computed form**: 0 meV per atom

Unit cell a=7.273 b=7.273 c=6.510 alpha=90.00 beta=90.00 gamma=142.99
Sites, in units of the cell vectors:
Sc 0.000 0.000 0.244
Sc 0.000 0.000 0.756
Sc 0.330 0.670 0.241
Sc 0.330 0.670 0.759
Sc 0.670 0.330 0.241
Sc 0.670 0.330 0.759
Cu 0.165 0.835 0.500
Cu 0.500 0.500 0.000
Cu 0.500 0.500 0.500
Cu 0.835 0.165 0.500
Tc 0.163 0.837 0.000
Tc 0.837 0.163 0.000


# 4
Entry from Alexandria: a geometry-optimized AlZn2Br structure (PBE-GGA).

Properties
**Formation energy (no corrections)**: 0.17 eV per atom
**SG**: Pmmm, No. 47
**Offset from the most stable computed form**: 368 meV per atom

Unit cell a=3.267 b=4.745 c=5.500 alpha=90.00 beta=90.00 gamma=90.00
Sites, in units of the cell vectors:
Al 0.000 0.000 0.000
Zn 0.000 0.500 0.500
Zn 0.500 0.000 0.500
Br 0.500 0.500 0.000


| no. | density of states at the Fermi level (states/eV/f.u.) |
| --- | --- |
| 1 | 3.49 |
| 2 | 10.73 |
| 3 | 4.33 |
| 4 | 1.11 |